A relaxed structure of TePCl2, computed with PBE.

Properties
formation energy (no corrections) = 123 kJ/mol of formula units
total moment = 0.000 μB/atom
total DFT energy (no corrections) = -2.743 eV/atom

Unit cell a=4.6194 b=4.4167 c=4.4265 alpha=89.82 beta=90.00 gamma=90.00
Atoms (fractional coordinates):
Cl: 0.0000 0.4907 0.4907
Te: 0.5000 0.7500 0.7500
P: 0.5000 0.2500 0.2500
Cl: 0.0000 0.0093 0.0093

A relaxed structure of TePCl2, computed with PBE.

Properties
formation energy (no corrections) = 62 kJ/mol of formula units
total moment = 0.006 μB/atom
total DFT energy (no corrections) = -2.899 eV/atom

Unit cell a=3.4012 b=3.4012 c=12.0431 alpha=90.00 beta=90.00 gamma=123.42
Atoms (fractional coordinates):
P: 0.5000 0.5000 0.2500
Te: 0.5000 0.5000 0.7500
Cl: 0.0000 0.0000 0.3969
Cl: 0.0000 0.0000 0.1031

A relaxed structure of TePCl2, computed with PBE.

Properties
formation energy (no corrections) = -62 kJ/mol of formula units
total moment = 0.000 μB/atom
total DFT energy (no corrections) = -3.222 eV/atom

Unit cell a=5.7181 b=5.7181 c=7.7006 alpha=84.17 beta=84.17 gamma=37.21
Atoms (fractional coordinates):
Cl: 0.8965 0.8965 0.0760
Te: 0.2301 0.2301 0.2623
Cl: 0.7314 0.7314 0.6915
P: 0.6420 0.6420 0.4702

A relaxed structure of TePCl2, computed with PBE.

Properties
formation energy (no corrections) = 231 kJ/mol of formula units
total moment = 0.000 μB/atom
total DFT energy (no corrections) = -2.462 eV/atom

Unit cell a=3.1124 b=4.4935 c=6.0643 alpha=90.00 beta=90.00 gamma=90.00
Atoms (fractional coordinates):
Te: 0.5000 0.5000 0.7500
Cl: 0.0000 0.0000 0.4955
P: 0.5000 0.5000 0.2500
Cl: 0.0000 0.0000 0.0045

A relaxed structure of TePCl, computed with PBE.

Properties
formation energy (no corrections) = -55 kJ/mol of formula units
total moment = 0.000 μB/atom
total DFT energy (no corrections) = -3.657 eV/atom

Unit cell a=5.4978 b=4.2247 c=8.0966 alpha=90.00 beta=91.06 gamma=90.00
Atoms (fractional coordinates):
Cl: 0.7590 0.5959 0.8242
Cl: 0.2410 0.0959 0.1758
Te: 0.7463 0.4968 0.3698
P: 0.2470 0.3805 0.3932
Te: 0.2537 0.9968 0.6302
P: 0.7530 0.8805 0.6068

A relaxed structure of TePCl, computed with PBE.

Properties
formation energy (no corrections) = -38 kJ/mol of formula units
total moment = 0.000 μB/atom
total DFT energy (no corrections) = -3.599 eV/atom

Unit cell a=7.0635 b=3.3451 c=8.5298 alpha=90.00 beta=98.35 gamma=90.00
Atoms (fractional coordinates):
Te: 0.3163 0.5000 0.8215
P: 0.6192 0.5000 0.0603
Cl: 0.0793 0.5000 0.5713
P: 0.7351 0.0000 0.2256
Cl: 0.5269 0.0000 0.3728
Te: 0.8433 0.5000 0.8595

A relaxed structure of TePCl2, computed with PBE.

Properties
formation energy (no corrections) = -77 kJ/mol of formula units
total moment = 0.000 μB/atom
total DFT energy (no corrections) = -3.261 eV/atom

Unit cell a=4.0364 b=4.1043 c=8.4467 alpha=60.84 beta=90.00 gamma=90.00
Atoms (fractional coordinates):
Cl: 0.5000 0.1814 0.3192
P: 0.0000 0.3725 0.6278
Te: 0.5000 0.8591 0.6411
Cl: 0.0000 0.0870 0.9119

A relaxed structure of TePCl2, computed with PBE.

Properties
formation energy (no corrections) = 39 kJ/mol of formula units
total moment = 0.000 μB/atom
total DFT energy (no corrections) = -2.961 eV/atom

Unit cell a=7.3303 b=7.3303 c=7.3303 alpha=151.67 beta=143.72 gamma=46.66
Atoms (fractional coordinates):
Cl: 0.2558 0.7558 0.5000
Te: 0.6852 0.1852 0.5000
P: 0.5508 0.5508 0.0000
Cl: 0.0083 0.0083 0.0000